Entry 1:
DFT (GGA-PBE) results for an optimized crystal structure of GdZrGa2.

The structure belongs to space group P4/mmm (No. 123); the cell edges are 3.209, 3.209 and 8.118 Å and the angles 90.00°, 90.00° and 90.00°. The inequivalent atoms are Gd at (0.000, 0.000, 0.000), Zr at (0.000, 0.000, 0.500) and Ga at (0.500, 0.500, 0.264).

As for the total magnetic moment: 7.12 μB/f.u. As for the energy above the most stable polymorph in this dataset: 0.000 eV per atom. The energy of formation comes out at -517 meV/atom.


Entry 2:
DFT (GGA-PBE) results for an optimized crystal structure of GdZrGa.

The structure belongs to space group P3m1 (No. 156); the cell edges are 4.8615, 4.8615 and 3.5379 Å and the angles 90.00°, 90.00° and 120.00°. The inequivalent atoms are Gd at (0.0000, 0.0000, 0.0000), Zr at (0.3333, 0.6667, 0.4961) and Ga at (0.6667, 0.3333, 0.5112).

As for the total magnetic moment: 7.18 μB/f.u. As for the energy above the most stable polymorph in this dataset: 0.117 eV per atom. The energy of formation comes out at -163 meV/atom.


Entry 3:
DFT (GGA-PBE) results for an optimized crystal structure of GdZrGa.

The structure belongs to space group I4mm (No. 107); the cell edges are 3.254, 3.254 and 13.191 Å and the angles 90.00°, 90.00° and 90.00°. The inequivalent atoms are Gd at (0.000, 0.000, 0.000), Zr at (0.000, 0.000, 0.301) and Ga at (0.000, 0.000, 0.662).

As for the total magnetic moment: 7.40 μB/f.u. As for the energy above the most stable polymorph in this dataset: 0.000 eV per atom. The energy of formation comes out at -280 meV/atom.


Entry 4:
DFT (GGA-PBE) results for an optimized crystal structure of GdZrGa2.

The structure belongs to space group R-3m (No. 166, hexagonal axes); the cell edges are 3.5478, 3.5478 and 25.1910 Å and the angles 90.00°, 90.00° and 120.00°. The inequivalent atoms are Gd at (0.0000, 0.0000, 0.0000), Zr at (0.0000, 0.0000, 0.5000) and Ga at (0.0000, 0.0000, 0.2454).

As for the total magnetic moment: 6.98 μB/f.u. As for the energy above the most stable polymorph in this dataset: 0.180 eV per atom. The energy of formation comes out at -337 meV/atom.


Entry 5:
DFT (GGA-PBE) results for an optimized crystal structure of GdZr2Ga.

The structure belongs to space group R-3m (No. 166, hexagonal axes); the cell edges are 3.1668, 3.1668 and 32.8126 Å and the angles 90.00°, 90.00° and 120.00°. The inequivalent atoms are Gd at (0.0000, 0.0000, 0.0000), Zr at (0.0000, 0.0000, 0.0958) and Ga at (0.0000, 0.0000, 0.5000).

As for the total magnetic moment: 7.99 μB/f.u. As for the energy above the most stable polymorph in this dataset: 0.336 eV per atom. The energy of formation comes out at 114 meV/atom.


Entry 6:
DFT (GGA-PBE) results for an optimized crystal structure of Ga3Ge.

The structure belongs to space group Imm2 (No. 44); the cell edges are 3.087, 9.776 and 5.038 Å and the angles 90.00°, 90.00° and 90.00°. The inequivalent atoms are Ga at (0.000, 0.000, 0.000), Ga at (0.000, 0.243, 0.645) and Ge at (0.000, 0.500, 0.987).

As for the total magnetic moment: 0.00 μB/f.u. As for the energy above the most stable polymorph in this dataset: 0.012 eV per atom. The energy of formation comes out at 98 meV/atom.


What did the fifth record say?
DFT (GGA-PBE) results for an optimized crystal structure of GdZr2Ga.

The structure belongs to space group R-3m (No. 166, hexagonal axes); the cell edges are 3.1668, 3.1668 and 32.8126 Å and the angles 90.00°, 90.00° and 120.00°. The inequivalent atoms are Gd at (0.0000, 0.0000, 0.0000), Zr at (0.0000, 0.0000, 0.0958) and Ga at (0.0000, 0.0000, 0.5000).

As for the total magnetic moment: 7.99 μB/f.u. As for the energy above the most stable polymorph in this dataset: 0.336 eV per atom. The energy of formation comes out at 114 meV/atom.


> energy of formation of number 6 (Ga3Ge)?

98 meV/atom


> Which formula does entry 3 have?

GdZrGa


Please write out number 4 again, unchanged.
DFT (GGA-PBE) results for an optimized crystal structure of GdZrGa2.

The structure belongs to space group R-3m (No. 166, hexagonal axes); the cell edges are 3.5478, 3.5478 and 25.1910 Å and the angles 90.00°, 90.00° and 120.00°. The inequivalent atoms are Gd at (0.0000, 0.0000, 0.0000), Zr at (0.0000, 0.0000, 0.5000) and Ga at (0.0000, 0.0000, 0.2454).

As for the total magnetic moment: 6.98 μB/f.u. As for the energy above the most stable polymorph in this dataset: 0.180 eV per atom. The energy of formation comes out at -337 meV/atom.